Ag2SbRu | meta-GGA SCAN | single point on PBEsol structure

```
Ag2SbRu
1.0
3.0254 -0.0088 0.0000
-0.0893 4.4774 0.0000
0.0000 0.0000 5.1232
Ag Ru Sb
2 1 1
Cartesian
0.7458 1.1367 0.0000 Ag
2.1904 3.3318 0.0000 Ag
-0.0446 2.2387 2.5616 Ru
1.5127 -0.0044 2.5616 Sb
```

Properties
Its uncorrected formation energy is 0.3285 eV/atom. The calculation puts the density of states at the Fermi level at 2.77 states/eV per cell. The spin magnetization comes out at 0.0012 μB per atom. The space-group type is P2/m. The calculation puts the volume at 17.3 Å³/atom.